1.
# LuInB2

LuInB2 after structural relaxation (PBE, the Open Quantum Materials Database).

Results
**Final energy**: -3.859 eV per atom
**Mass density**: 7854 kg/m³
**Symmetry**: F-43m (216)

The structure in POSCAR format:
```
LuInB2
1.0
0.000 3.205 3.205
3.205 0.000 3.205
3.205 3.205 0.000
Lu In B
1 1 2
Cartesian
0.000 0.000 0.000 Lu
4.807 4.807 4.807 In
1.602 1.602 1.602 B
3.205 3.205 3.205 B
```

2.
# LuInB

LuInB after structural relaxation (PBE, the Open Quantum Materials Database).

Results
**ΔE to the lowest computed polymorph**: 826 meV per atom
**Mass density**: 7486 kg/m³
**Symmetry**: F-43m (216)

The structure in POSCAR format:
```
LuInB
1.0
0.000 3.218 3.218
3.218 0.000 3.218
3.218 3.218 0.000
Lu In B
1 1 1
Cartesian
0.000 0.000 0.000 Lu
1.609 1.609 1.609 In
4.828 4.828 4.828 B
```

3.
# MgInBPt

MgInBPt after structural relaxation (PBE, the Open Quantum Materials Database).

Results
**ΔE to the lowest computed polymorph**: 0 meV per atom
**Mass density**: 8846 kg/m³
**Symmetry**: F-43m (216)

The structure in POSCAR format:
```
MgInBPt
1.0
0.000 3.187 3.187
3.187 0.000 3.187
3.187 3.187 0.000
Mg In B Pt
1 1 1 1
Cartesian
0.000 0.000 0.000 Mg
3.187 3.187 3.187 In
4.781 4.781 4.781 B
1.594 1.594 1.594 Pt
```

4.
# InB4Mo3

InB4Mo3 after structural relaxation (PBE, the Open Quantum Materials Database).

Results
**Final energy**: -8.004 eV per atom
**Mass density**: 8235 kg/m³
**Symmetry**: Pmmm (47)

The structure in POSCAR format:
```
InB4Mo3
1.0
3.063 0.000 0.000
0.000 3.150 0.000
0.000 0.000 9.318
In B Mo
1 4 3
Cartesian
0.000 0.000 0.000 In
0.000 0.000 2.801 B
0.000 0.000 6.517 B
1.532 0.000 3.741 B
1.532 0.000 5.576 B
0.000 1.575 4.659 Mo
1.532 1.575 2.106 Mo
1.532 1.575 7.212 Mo
```